VASP calculation (GGA-PBEsol) on an optimized crystal structure of CaAgCl2. Values from VASP.

Cell and atoms, written as Quantum ESPRESSO input:
```
&SYSTEM
  ibrav = 0, nat = 4, ntyp = 3
/
ATOMIC_SPECIES
Ca 40.08 Ca.upf
Ag 107.87 Ag.upf
Cl 35.45 Cl.upf
ATOMIC_POSITIONS angstrom
Ca 0.000 2.596 0.000
Ag 1.986 0.000 0.000
Cl 1.986 2.596 1.734
Cl 0.000 0.000 3.183
CELL_PARAMETERS angstrom
3.973 0.000 0.000
0.000 5.192 0.000
-1.986 -2.596 4.916
```

- space-group type = No. 71
- energy above the lowest structure with this stoichiometry (kJ/mol of formula units) = 4
- uncorrected formation energy (eV/atom) = -1.08